# Cs2Ca2Sn, optimized geometry, DFT PBE
data_Cs2Ca2Sn
_chemical_formula_sum 'Cs4 Ca4 Sn2'
_cell_length_a 8.506
_cell_length_b 8.506
_cell_length_c 7.288
_cell_angle_alpha 90.00
_cell_angle_beta 90.00
_cell_angle_gamma 90.00
_space_group_name_H-M_alt 'P 4/m b m'
_space_group_IT_number 127
_space_group_name_Hall '-P 4 2ab'
loop_
_atom_site_label
_atom_site_type_symbol
_atom_site_fract_x
_atom_site_fract_y
_atom_site_fract_z
Cs1 Cs 0.191 0.309 0.000
Ca1 Ca 0.165 0.665 0.500
Sn1 Sn 0.000 0.000 0.500
# E_tot, eV per atom: -1.993
# Energy of formation from the pure elements, eV per atom: -0.050